Record 1
A plane-wave DFT calculation with GGA-PBE was carried out for a geometry-optimized CaIn2Pd4 structure.

Total DFT energy (no corrections), eV per formula unit: -31.19
ΔE to the lowest computed polymorph, eV per atom: 0.1021
N(E_F), states/eV/atom: 0.38
ΔH_f (0 K), meV per atom: -421

abc: 5.682 5.682 5.682
angles: 116.48 106.08 106.08
Atoms (fractional coordinates):
Ca 0.000 0.000 0.000
Pd 0.000 0.500 0.000
Pd 0.500 0.500 0.500
Pd 0.500 0.000 0.000
Pd 0.000 0.000 0.500
In 0.500 0.000 0.500
In 0.500 0.500 0.000

---

Record 2
A plane-wave DFT calculation with GGA-PBE was carried out for a geometry-optimized TlCuBiF6 structure.

Total DFT energy (no corrections), eV per formula unit: -39.23
N(E_F), states/eV/atom: 0.71
E_form (uncorrected), meV/atom: -1962

abc: 5.905 5.905 11.336
angles: 90.00 90.00 120.00
Atoms (fractional coordinates):
Cu 0.333 0.667 0.750
Cu 0.667 0.333 0.250
Tl 0.000 0.000 0.500
Tl 0.000 0.000 0.000
Bi 0.667 0.333 0.750
Bi 0.333 0.667 0.250
F 0.391 0.363 0.351
F 0.609 0.637 0.649
F 0.363 0.972 0.649
F 0.028 0.391 0.649
F 0.363 0.391 0.851
F 0.637 0.609 0.149
F 0.972 0.609 0.351
F 0.391 0.028 0.149
F 0.609 0.972 0.851
F 0.028 0.637 0.851
F 0.637 0.028 0.351
F 0.972 0.363 0.149